A relaxed BeCdSe crystal. Source: the Alexandria database, functional GGA-PBE.

Properties
Calculated total energy: -2.934 eV/atom
Distance to the lowest polymorph of the same formula: 0.0 meV per atom
Crystal system: trigonal
Spin magnetization: 0.0 Bohr magnetons per cell

Cell lengths 3.5513, 3.5513, 6.0616 Å; angles 90.00, 90.00, 120.00 degrees
With the nearest neighbours (Å) after each atom.
Atoms (fractional coordinates):
Be1 0.0000 0.0000 0.0000  3 Se 2.16
Cd1 0.6667 0.3333 0.6103  3 Be 3.13
Se1 0.3333 0.6667 0.1096  3 Be 2.16

A relaxed Hf2ZnPC crystal. Source: the Alexandria database, functional GGA-PBE.

Properties
Calculated total energy: -7.405 eV/atom
Crystal system: tetragonal
Energy of formation: -0.24 eV per atom
Spin magnetization: 0.0 Bohr magnetons per cell

Cell lengths 4.5578, 4.5578, 3.7538 Å; angles 90.00, 90.00, 90.00 degrees
With the nearest neighbours (Å) after each atom.
Atoms (fractional coordinates):
Hf1 0.0000 0.5000 0.0000  2 C 2.28
Hf2 0.5000 0.0000 0.0000  2 C 2.28
Zn1 0.0000 0.0000 0.5000  2 C 1.88
P1 0.5000 0.5000 0.5000  8 Hf 2.95, 4 Zn 3.22
C1 0.0000 0.0000 0.0000  2 Zn 1.88

A relaxed AlRe2Te crystal. Source: the Alexandria database, functional GGA-PBE.

Properties
Calculated total energy: -7.607 eV/atom
Distance to the lowest polymorph of the same formula: 99.7 meV per atom
Crystal system: monoclinic
Spin magnetization: 0.0 Bohr magnetons per cell

Cell lengths 9.2447, 3.1520, 4.7984 Å; angles 90.00, 109.12, 90.00 degrees
With the nearest neighbours (Å) after each atom.
Atoms (fractional coordinates):
Al1 0.0000 0.0000 0.0000  7 Re 2.61-2.90
Al2 0.5000 0.5000 0.0000  7 Re 2.61-2.90
Re1 0.2416 0.5000 0.1089  3 Al 2.61-2.64, 2 Te 2.69, 2 Re 2.80
Re2 0.4769 0.0000 0.4791  3 Te 2.66-2.72, 2 Re 2.80, 4 Al 2.85-2.90
Re3 0.7416 0.0000 0.1089  3 Al 2.61-2.64, 2 Te 2.69, 2 Re 2.80
Re4 0.9769 0.5000 0.4791  3 Te 2.66-2.72, 2 Re 2.80, 4 Al 2.85-2.90
Te1 0.2299 0.0000 0.6485  5 Re 2.66-2.72, 2 Al 2.97
Te2 0.7299 0.5000 0.6485  5 Re 2.66-2.72, 2 Al 2.97

A relaxed K2InHg6Bi crystal. Source: the Alexandria database, functional GGA-PBE.

Properties
Calculated total energy: -1.185 eV/atom
Crystal system: orthorhombic
Energy of formation: -0.12 eV per atom
Spin magnetization: 0.0 Bohr magnetons per cell

Cell lengths 6.4393, 9.1742, 11.7118 Å; angles 90.00, 90.00, 90.00 degrees
With the nearest neighbours (Å) after each atom.
Atoms (fractional coordinates):
K1 0.2500 0.0133 0.2427  4 Hg 3.63-3.82, 2 Bi 3.94, 2 In 4.03
K2 0.2500 0.4867 0.2427  4 Hg 3.63-3.82, 2 Bi 3.94, 2 In 4.03
K3 0.7500 0.5133 0.7573  4 Hg 3.63-3.82, 2 Bi 3.94, 2 In 4.03
K4 0.7500 0.9867 0.7573  4 Hg 3.63-3.82, 2 Bi 3.94, 2 In 4.03
In1 0.2500 0.2500 0.7642  4 Hg 2.89-3.01
In2 0.7500 0.7500 0.2358  4 Hg 2.89-3.01
Hg1 0.0004 0.2500 0.9696  1 In 2.89, 1 Bi 3.00, 2 Hg 3.22
Hg2 0.9996 0.7500 0.0304  1 In 2.89, 1 Bi 3.00, 2 Hg 3.22
Hg3 0.0034 0.2500 0.5073  6 Hg 3.04-3.26, 1 In 3.40
Hg4 0.2500 0.5174 0.6149  1 In 3.01, 4 Hg 3.04-3.18, 1 Bi 3.17
Hg5 0.2500 0.9826 0.6149  1 In 3.01, 4 Hg 3.04-3.18, 1 Bi 3.17
Hg6 0.4966 0.2500 0.5073  6 Hg 3.04-3.26, 1 In 3.40
Hg7 0.4996 0.2500 0.9696  1 In 2.89, 1 Bi 3.00, 2 Hg 3.22
Hg8 0.5004 0.7500 0.0304  1 In 2.89, 1 Bi 3.00, 2 Hg 3.22
Hg9 0.5034 0.7500 0.4927  6 Hg 3.04-3.26, 1 In 3.40
Hg10 0.7500 0.0174 0.3851  1 In 3.01, 4 Hg 3.04-3.18, 1 Bi 3.17
Hg11 0.7500 0.4826 0.3851  1 In 3.01, 4 Hg 3.04-3.18, 1 Bi 3.17
Hg12 0.9966 0.7500 0.4927  6 Hg 3.04-3.26, 1 In 3.40
Bi1 0.2500 0.7500 0.8145  4 Hg 3.00-3.17
Bi2 0.7500 0.2500 0.1855  4 Hg 3.00-3.17